Ac3Ge4Pb: optimized geometry, GGA-PBE.

**Total DFT energy (no corrections)**: -4.828 eV per atom
**Total magnetic moment**: 0.0000 μB/atom
**Formation enthalpy at 0 K**: -0.515 eV/atom
**Calculated volume**: 31.680 A^3/atom

Geometry as POSCAR:
```
Ac3Ge4Pb
1.0
4.5455 0.0000 0.0000
0.0000 6.7342 0.0000
-2.2727 -3.3671 8.2796
Pb Ac Ge
1 3 4
direct
0.5000 0.0000 0.0000 Pb
0.1856 0.1856 0.3712 Ac
0.8144 0.8144 0.6288 Ac
0.0000 0.5000 0.0000 Ac
0.6314 0.8144 0.2627 Ge
0.3686 0.1856 0.7373 Ge
0.6314 0.4483 0.2627 Ge
0.3686 0.5517 0.7373 Ge
```